[1]
A plane-wave DFT calculation with GGA-PBEsol was carried out for a relaxed Ba2SrOs crystal.

Lattice parameters (Å, degrees): 5.3391 5.6519 5.3391 61.81 90.00 118.19
Atoms (fractional coordinates):
Ba (0.0000, 0.0000, 0.0000)
Ba (0.2500, 0.5000, 0.2500)
Os (0.5000, 0.0000, 0.5000)
Sr (0.7500, 0.5000, 0.7500)

## Properties
Space group: No. 119
Crystal system: tetragonal
Magnetic moment in μB per cell: 0.0
E in eV per cell: -15.37
Polymorph energy (0 for the lowest one) in meV/atom: 128
ρ in Mg/m³: 7.65


[2]
A plane-wave DFT calculation with GGA-PBEsol was carried out for a relaxed BaSr2ZrOs crystal.

Lattice parameters (Å, degrees): 5.0197 6.0029 6.0029 90.00 90.00 90.00
Atoms (fractional coordinates):
Sr (0.0000, 0.0000, 0.5000)
Sr (0.0000, 0.5000, 0.0000)
Os (0.0000, 0.0000, 0.0000)
Ba (0.5000, 0.5000, 0.5000)
Zr (0.5000, 0.0000, 0.0000)

## Properties
Space group: No. 123
Crystal system: tetragonal
Magnetic moment in μB per cell: 0.0
E in eV per cell: -25.29
ρ in Mg/m³: 5.45


[3]
A plane-wave DFT calculation with GGA-PBEsol was carried out for a relaxed BaTa2Os crystal.

Lattice parameters (Å, degrees): 2.8994 5.5038 5.6623 119.08 90.00 90.00
Atoms (fractional coordinates):
Os (0.5000, 0.5000, 0.0000)
Ba (0.5000, 0.0000, 0.0000)
Ta (0.0000, 0.5000, 0.5000)
Ta (0.0000, 0.0000, 0.5000)

## Properties
Space group: No. 65
Crystal system: orthorhombic
Magnetic moment in μB per cell: 0.0
E in eV per cell: -34.32
Polymorph energy (0 for the lowest one) in meV/atom: 177
ρ in Mg/m³: 14.50


no.,DOS at the Fermi energy (states/eV per cell),ΔE_f (meV/atom)
1,3.4,746
2,4.3,369
3,5.0,1286